KMnAg | GGA-PBE | optimized geometry

crystal system	trigonal
DFT total energy	-11.0	eV/cell
formation energy from the elements	0.706	eV per atom

abc: 3.2268 3.2268 8.0814
angles: 90.00 90.00 120.00
Atoms (fractional coordinates):
1 Mn 0.3333 0.6667 0.7081
2 Ag 0.0000 0.0000 0.9641
3 K 0.6667 0.3333 0.3278